Entry 1:
# NaMoBr3

A relaxed structure of NaMoBr3 (PBE-GGA, Alexandria).

Crystal system: monoclinic
Total magnetization, Bohr magnetons per cell: 0.0
ΔE_f (raw), eV per atom: -0.61
Symmetry: C2/m, No. 12
Polymorph energy (0 for the lowest one), meV/atom: 0
Density, g/cm3: 4.7

Unit cell a=3.6694 b=7.8236 c=9.3508 alpha=77.73 beta=90.01 gamma=103.57
Element x y z (fractional)
Br1 0.7514 0.4695 0.0182
Br2 0.5854 0.1379 0.7134
Br3 0.3705 0.7079 0.7082
Mo1 0.7577 0.4823 0.6191
Br4 0.9101 0.7869 0.3834
Na1 0.3731 0.7131 0.1476
Mo2 0.1983 0.3634 0.8026
Na2 0.5831 0.1330 0.2739
Br5 0.2046 0.3764 0.4034
Br6 0.0461 0.0592 0.0381

Entry 2:
# SrZnCd6

A relaxed structure of SrZnCd6 (PBE-GGA, Alexandria).

Formation enthalpy at 0 K, eV/atom: -0.14
Crystal system: tetragonal
Total magnetization, Bohr magnetons per cell: 0.0
Symmetry: P4/mmm, No. 123
Density, g/cm3: 6.7

Unit cell a=4.6359 b=4.6359 c=9.4880 alpha=90.00 beta=90.00 gamma=90.00
Element x y z (fractional)
Zn1 0.0000 0.0000 0.5000
Cd1 0.5000 0.5000 0.1471
Cd2 0.5000 0.0000 0.6634
Cd3 0.0000 0.5000 0.3366
Sr1 0.0000 0.0000 0.0000
Cd4 0.5000 0.0000 0.3366
Cd5 0.5000 0.5000 0.8529
Cd6 0.0000 0.5000 0.6634

Entry 3:
# Hf3BiI

A relaxed structure of Hf3BiI (PBE-GGA, Alexandria).

Crystal system: cubic
Total magnetization, Bohr magnetons per cell: 3.1
ΔE_f (raw), eV per atom: 1.45
Symmetry: Pm-3m, No. 221
Polymorph energy (0 for the lowest one), meV/atom: 310
Density, g/cm3: 8.9

Unit cell a=5.4602 b=5.4602 c=5.4602 alpha=90.00 beta=90.00 gamma=90.00
Element x y z (fractional)
I1 0.5000 0.5000 0.5000
Hf1 0.0000 0.0000 0.5000
Hf2 0.5000 0.0000 0.0000
Hf3 0.0000 0.5000 0.0000
Bi1 0.0000 0.0000 0.0000

Entry 4:
# TbPmTe2

A relaxed structure of TbPmTe2 (PBE-GGA, Alexandria).

Crystal system: cubic
Total magnetization, Bohr magnetons per cell: 0.7
ΔE_f (raw), eV per atom: -1.24
Symmetry: Fm-3m, No. 225
Polymorph energy (0 for the lowest one), meV/atom: 141
Density, g/cm3: 8.3

Unit cell a=5.4064 b=5.4064 c=5.4064 alpha=60.00 beta=60.00 gamma=60.00
Element x y z (fractional)
Te1 0.2500 0.2500 0.2500
Pm1 0.5000 0.5000 0.5000
Tb1 0.0000 0.0000 0.0000
Te2 0.7500 0.7500 0.7500

Entry 5:
# ZrPa3N6

A relaxed structure of ZrPa3N6 (PBE-GGA, Alexandria).

Crystal system: orthorhombic
Total magnetization, Bohr magnetons per cell: 0.0
ΔE_f (raw), eV per atom: -1.64
Symmetry: Cmc2_1, No. 36
Polymorph energy (0 for the lowest one), meV/atom: 0
Density, g/cm3: 9.9

Unit cell a=5.6694 b=7.2301 c=7.2301 alpha=101.14 beta=90.00 gamma=90.00
Element x y z (fractional)
N1 0.7677 0.9781 0.0219
N2 0.6233 0.2195 0.7805
Pa1 0.4686 0.9110 0.6883
N3 0.1233 0.7805 0.2195
Pa2 0.9686 0.0890 0.3117
N4 0.6814 0.5858 0.1030
N5 0.1814 0.4142 0.8970
Pa3 0.4185 0.3923 0.6077
Zr1 0.4868 0.8390 0.1610
N6 0.6814 0.8970 0.4142
N7 0.6945 0.6422 0.6680
Pa4 0.9185 0.6077 0.3923
N8 0.1945 0.3578 0.3320
Pa5 0.4686 0.3117 0.0890
N9 0.1814 0.1030 0.5858
N10 0.6945 0.3320 0.3578
N11 0.2677 0.0219 0.9781
Zr2 0.9868 0.1610 0.8390
Pa6 0.9686 0.6883 0.9110
N12 0.1945 0.6680 0.6422

Entry 6:
# TbPmHo2Se4

A relaxed structure of TbPmHo2Se4 (PBE-GGA, Alexandria).

Crystal system: monoclinic
Total magnetization, Bohr magnetons per cell: 0.0
ΔE_f (raw), eV per atom: -1.76
Symmetry: P2/m, No. 10
Density, g/cm3: 8.1

Unit cell a=4.0418 b=7.1960 c=7.0839 alpha=71.26 beta=90.00 gamma=90.00
Element x y z (fractional)
Tb1 0.0000 0.5000 0.5000
Pm1 0.5000 0.5000 0.0000
Se1 0.5000 0.7572 0.2515
Ho1 0.0000 0.0000 0.0000
Ho2 0.5000 0.0000 0.5000
Se2 0.5000 0.2428 0.7485
Se3 0.0000 0.2398 0.2574
Se4 0.0000 0.7602 0.7426

Entry 7:
# HoSbAu2

A relaxed structure of HoSbAu2 (PBE-GGA, Alexandria).

Crystal system: tetragonal
Total magnetization, Bohr magnetons per cell: 0.0
ΔE_f (raw), eV per atom: -0.59
Symmetry: P4/mmm, No. 123
Density, g/cm3: 12.9

Unit cell a=4.5446 b=4.3861 c=4.3861 alpha=90.00 beta=90.00 gamma=90.00
Element x y z (fractional)
Ho1 0.5000 0.5000 0.5000
Au1 0.0000 0.5000 0.0000
Sb1 0.5000 0.0000 0.0000
Au2 0.0000 0.0000 0.5000

Entry 8:
# BeNi2

A relaxed structure of BeNi2 (PBE-GGA, Alexandria).

Formation enthalpy at 0 K, eV/atom: -0.31
Crystal system: tetragonal
Total magnetization, Bohr magnetons per cell: 0.4
Symmetry: P4/mmm, No. 123
Density, g/cm3: 7.3

Unit cell a=2.5532 b=2.5532 c=8.7689 alpha=90.00 beta=90.00 gamma=90.00
Element x y z (fractional)
Ni1 0.5000 0.5000 0.0000
Ni2 0.5000 0.5000 0.3036
Be1 0.0000 0.0000 0.1555
Ni3 0.0000 0.0000 0.5000
Ni4 0.5000 0.5000 0.6964
Be2 0.0000 0.0000 0.8445

Entry 9:
# CeSmEr2

A relaxed structure of CeSmEr2 (PBE-GGA, Alexandria).

Formation enthalpy at 0 K, eV/atom: 0.06
Crystal system: tetragonal
Total magnetization, Bohr magnetons per cell: 0.7
Symmetry: P4/mmm, No. 123
Polymorph energy (0 for the lowest one), meV/atom: 12
Density, g/cm3: 8.4

Unit cell a=3.5385 b=3.5385 c=9.9156 alpha=90.00 beta=90.00 gamma=90.00
Element x y z (fractional)
Sm1 0.5000 0.5000 0.5000
Er1 0.0000 0.0000 0.7574
Ce1 0.5000 0.5000 0.0000
Er2 0.0000 0.0000 0.2426